Entry 1:
4
Lattice="2.2429 1.2949 6.0704 -2.2429 1.2949 6.0704 0.0000 -2.5899 6.0704" Properties=species:S:1:pos:R:3 comment="BaLaCo2, optimized geometry, DFT PBE" relative_energy_ev_per_atom=0.2316 ef_ev_per_atom=0.291 total_magnetization_mub_per_cell=0.002 total_energy_ev_per_cell=-19.898 spacegroup=R-3m pbc="T T T"
Ba 0.0000 0.0000 0.0000
La 0.0000 0.0000 9.1056
Co 0.0000 0.0000 3.3994
Co 0.0000 0.0000 14.8119

***

Entry 2:
4
Lattice="2.0396 1.1775 10.9577 -2.0396 1.1775 10.9577 0.0000 -2.3551 10.9577" Properties=species:S:1:pos:R:3 comment="Ba2LaCo, optimized geometry, DFT PBE" relative_energy_ev_per_atom=0.3986 ef_ev_per_atom=0.514 total_magnetization_mub_per_cell=0.963 total_energy_ev_per_cell=-13.822 spacegroup=R-3m pbc="T T T"
Ba 0.0000 0.0000 7.4045
Ba 0.0000 0.0000 25.4686
La 0.0000 0.0000 0.0000
Co 0.0000 0.0000 16.4365

***

Entry 3:
4
Lattice="0.0000 3.6345 3.6345 3.6345 0.0000 3.6345 3.6345 3.6345 0.0000" Properties=species:S:1:pos:R:3 comment="BaLaCo2, optimized geometry, DFT PBE" relative_energy_ev_per_atom=0.3978 ef_ev_per_atom=0.457 total_magnetization_mub_per_cell=1.392 total_energy_ev_per_cell=-19.233 spacegroup=Fm-3m pbc="T T T"
Ba 0.0000 0.0000 0.0000
La 3.6345 3.6345 3.6345
Co 1.8172 1.8172 1.8172
Co 5.4517 5.4517 5.4517